Below is a geometry-optimized Tm5Sb3 structure, with properties calculated at the PBE level.

The structure in POSCAR format:
```
Tm5Sb3
1.0
-0.0391 2.7549 -8.4157
-0.1188 -8.6647 1.8230
-6.2214 0.0981 0.0611
Tm Sb
10 6
Direct
0.3333 0.6667 0.0000
0.6667 0.3333 0.5000
0.6667 0.3333 0.0000
0.3333 0.6667 0.5000
0.2456 0.0000 0.2500
0.7544 0.0000 0.7500
0.0000 0.2456 0.2500
0.7544 0.7544 0.2500
0.2456 0.2456 0.7500
0.0000 0.7544 0.7500
0.6103 0.0000 0.2500
0.3897 0.0000 0.7500
0.0000 0.6103 0.2500
0.3897 0.3897 0.2500
0.6103 0.6103 0.7500
0.0000 0.3897 0.7500
```

Calculated values
Formation energy (no corrections): -0.860 eV/atom
Space group: P6_3/mcm (193)
Electronic total energy: -5.2006 eV/atom